Record 1
This record from Alexandria via LeMat-Bulk describes crystalline LaHf2CoH at its relaxed geometry. The functional is PBE-GGA.

Calculated values
Calculated total energy ... -4.99 eV per atom

```
data_LaHf2CoH
_chemical_formula_sum 'La1 Hf2 Co1 H1'
_cell_length_a 5.2990
_cell_length_b 4.3382
_cell_length_c 5.2990
_cell_angle_alpha 90.00
_cell_angle_beta 90.00
_cell_angle_gamma 90.00
_symmetry_space_group_name_H-M 'P 1'
_symmetry_Int_Tables_number 1
loop_
_symmetry_equiv_pos_as_xyz
'x,y,z'
loop_
_atom_site_label
_atom_site_type_symbol
_atom_site_fract_x
_atom_site_fract_y
_atom_site_fract_z
H1 H 0.5000 0.5000 0.5000
Hf1 Hf 0.5000 0.0000 0.0000
Hf2 Hf 0.0000 0.0000 0.5000
Co1 Co 0.0000 0.5000 0.0000
La1 La 0.0000 0.0000 0.0000
```



Record 2
This record from Alexandria via LeMat-Bulk describes crystalline Ca3PrBi2P at its relaxed geometry. The functional is PBE-GGA.

Calculated values
Formation enthalpy at 0 K ... -922 meV/atom

```
data_Ca3PrBi2P
_chemical_formula_sum 'Ca3 Pr1 Bi2 P1'
_cell_length_a 5.5175
_cell_length_b 5.2800
_cell_length_c 9.1350
_cell_angle_alpha 106.80
_cell_angle_beta 107.58
_cell_angle_gamma 90.00
_symmetry_space_group_name_H-M 'P 1'
_symmetry_Int_Tables_number 1
loop_
_symmetry_equiv_pos_as_xyz
'x,y,z'
loop_
_atom_site_label
_atom_site_type_symbol
_atom_site_fract_x
_atom_site_fract_y
_atom_site_fract_z
Pr1 Pr 0.5000 0.0000 0.0000
Bi1 Bi 0.3645 0.3645 0.7291
Ca1 Ca 0.0000 0.5000 0.0000
Ca2 Ca 0.8275 0.8275 0.6551
Bi2 Bi 0.6355 0.6355 0.2709
Ca3 Ca 0.1725 0.1725 0.3449
P1 P 0.0000 0.0000 0.0000
```



Record 3
This record from Alexandria via LeMat-Bulk describes crystalline Ca5PmSe6 at its relaxed geometry. The functional is PBE-GGA.

Calculated values
Calculated total energy ... -4.95 eV per atom

```
data_Ca5PmSe6
_chemical_formula_sum 'Ca5 Pm1 Se6'
_cell_length_a 7.2879
_cell_length_b 7.2832
_cell_length_c 7.2827
_cell_angle_alpha 60.00
_cell_angle_beta 80.41
_cell_angle_gamma 70.54
_symmetry_space_group_name_H-M 'P 1'
_symmetry_Int_Tables_number 1
loop_
_symmetry_equiv_pos_as_xyz
'x,y,z'
loop_
_atom_site_label
_atom_site_type_symbol
_atom_site_fract_x
_atom_site_fract_y
_atom_site_fract_z
Se1 Se 0.7501 0.4162 0.6672
Se2 Se 0.7501 0.0834 0.3328
Ca1 Ca 0.5000 0.5000 0.0000
Se3 Se 0.2499 0.9166 0.6672
Pm1 Pm 0.0000 0.0000 0.0000
Ca2 Ca 0.5000 0.1669 0.6661
Ca3 Ca 0.5000 0.8331 0.3339
Se4 Se 0.2499 0.5838 0.3328
Ca4 Ca 0.0000 0.3332 0.3336
Se5 Se 0.7500 0.7503 0.0000
Se6 Se 0.2500 0.2497 0.0000
Ca5 Ca 0.0000 0.6668 0.6664
```



Record 4
This record from Alexandria via LeMat-Bulk describes crystalline AcHo2ThP4 at its relaxed geometry. The functional is PBE-GGA.

Calculated values
Formation enthalpy at 0 K ... -1537 meV/atom

```
data_AcHo2ThP4
_chemical_formula_sum 'Ac1 Ho2 Th1 P4'
_cell_length_a 4.1414
_cell_length_b 7.1349
_cell_length_c 7.1951
_cell_angle_alpha 70.55
_cell_angle_beta 90.00
_cell_angle_gamma 90.00
_symmetry_space_group_name_H-M 'P 1'
_symmetry_Int_Tables_number 1
loop_
_symmetry_equiv_pos_as_xyz
'x,y,z'
loop_
_atom_site_label
_atom_site_type_symbol
_atom_site_fract_x
_atom_site_fract_y
_atom_site_fract_z
P1 P 0.0000 0.7681 0.7342
P2 P 0.5000 0.7624 0.2545
Ho1 Ho 0.0000 0.0000 0.0000
Ho2 Ho 0.5000 0.0000 0.5000
Ac1 Ac 0.5000 0.5000 0.0000
P3 P 0.5000 0.2376 0.7455
P4 P 0.0000 0.2319 0.2658
Th1 Th 0.0000 0.5000 0.5000
```



Record 5
This record from Alexandria via LeMat-Bulk describes crystalline KCuMo2 at its relaxed geometry. The functional is PBE-GGA.

Calculated values
Formation enthalpy at 0 K ... 1178 meV/atom
Polymorph energy (0 for the lowest one) ... 11.437 kcal/mol of atoms

```
data_KCuMo2
_chemical_formula_sum 'K1 Cu1 Mo2'
_cell_length_a 5.8625
_cell_length_b 5.8625
_cell_length_c 5.8625
_cell_angle_alpha 149.01
_cell_angle_beta 121.22
_cell_angle_gamma 67.94
_symmetry_space_group_name_H-M 'P 1'
_symmetry_Int_Tables_number 1
loop_
_symmetry_equiv_pos_as_xyz
'x,y,z'
loop_
_atom_site_label
_atom_site_type_symbol
_atom_site_fract_x
_atom_site_fract_y
_atom_site_fract_z
Cu1 Cu 0.5389 0.5389 0.0000
K1 K 0.2475 0.7475 0.5000
Mo1 Mo 0.9449 0.9449 0.0000
Mo2 Mo 0.7687 0.2686 0.5000
```



Record 6
This record from Alexandria via LeMat-Bulk describes crystalline ZrAl2Cl at its relaxed geometry. The functional is PBE-GGA.

Calculated values
Polymorph energy (0 for the lowest one) ... 4.796 kcal/mol of atoms

```
data_ZrAl2Cl
_chemical_formula_sum 'Zr1 Al2 Cl1'
_cell_length_a 3.1053
_cell_length_b 4.4747
_cell_length_c 5.4298
_cell_angle_alpha 90.00
_cell_angle_beta 90.00
_cell_angle_gamma 90.00
_symmetry_space_group_name_H-M 'P 1'
_symmetry_Int_Tables_number 1
loop_
_symmetry_equiv_pos_as_xyz
'x,y,z'
loop_
_atom_site_label
_atom_site_type_symbol
_atom_site_fract_x
_atom_site_fract_y
_atom_site_fract_z
Zr1 Zr 0.0000 0.5000 0.5000
Cl1 Cl 0.5000 0.0000 0.5000
Al1 Al 0.0000 0.0000 0.0000
Al2 Al 0.5000 0.5000 0.0000
```



Record 7
This record from Alexandria via LeMat-Bulk describes crystalline Tb12Ru6C at its relaxed geometry. The functional is PBE-GGA.

Calculated values
Formation enthalpy at 0 K ... -173 meV/atom

```
data_Tb12Ru6C
_chemical_formula_sum 'Tb12 Ru6 C1'
_cell_length_a 7.9896
_cell_length_b 7.9896
_cell_length_c 7.9896
_cell_angle_alpha 99.53
_cell_angle_beta 99.53
_cell_angle_gamma 99.53
_symmetry_space_group_name_H-M 'P 1'
_symmetry_Int_Tables_number 1
loop_
_symmetry_equiv_pos_as_xyz
'x,y,z'
loop_
_atom_site_label
_atom_site_type_symbol
_atom_site_fract_x
_atom_site_fract_y
_atom_site_fract_z
Tb1 Tb 0.1778 0.4204 0.5730
C1 C 0.0000 0.0000 0.0000
Tb2 Tb 0.6898 0.9287 0.0452
Ru1 Ru 0.6185 0.2971 0.1335
Tb3 Tb 0.3102 0.0713 0.9548
Tb4 Tb 0.5730 0.1778 0.4204
Tb5 Tb 0.0713 0.9548 0.3102
Tb6 Tb 0.9287 0.0452 0.6898
Ru2 Ru 0.3815 0.7029 0.8665
Tb7 Tb 0.8222 0.5796 0.4270
Ru3 Ru 0.2971 0.1335 0.6185
Tb8 Tb 0.4204 0.5730 0.1778
Ru4 Ru 0.1335 0.6185 0.2971
Tb9 Tb 0.9548 0.3102 0.0713
Ru5 Ru 0.7029 0.8665 0.3815
Tb10 Tb 0.5796 0.4270 0.8222
Tb11 Tb 0.0452 0.6898 0.9287
Ru6 Ru 0.8665 0.3815 0.7029
Tb12 Tb 0.4270 0.8222 0.5796
```



Record 8
This record from Alexandria via LeMat-Bulk describes crystalline CaHf2BiSb at its relaxed geometry. The functional is PBE-GGA.

Calculated values
Calculated total energy ... -5.06 eV per atom

```
data_CaHf2BiSb
_chemical_formula_sum 'Ca1 Hf2 Bi1 Sb1'
_cell_length_a 5.4423
_cell_length_b 6.0194
_cell_length_c 5.4423
_cell_angle_alpha 90.00
_cell_angle_beta 90.00
_cell_angle_gamma 90.00
_symmetry_space_group_name_H-M 'P 1'
_symmetry_Int_Tables_number 1
loop_
_symmetry_equiv_pos_as_xyz
'x,y,z'
loop_
_atom_site_label
_atom_site_type_symbol
_atom_site_fract_x
_atom_site_fract_y
_atom_site_fract_z
Sb1 Sb 0.0000 0.5000 0.0000
Hf1 Hf 0.0000 0.0000 0.5000
Bi1 Bi 0.0000 0.0000 0.0000
Ca1 Ca 0.5000 0.5000 0.5000
Hf2 Hf 0.5000 0.0000 0.0000
```



Record 9
This record from Alexandria via LeMat-Bulk describes crystalline MgTi5Co6 at its relaxed geometry. The functional is PBE-GGA.

Calculated values
Formation enthalpy at 0 K ... -352 meV/atom

```
data_MgTi5Co6
_chemical_formula_sum 'Mg1 Ti5 Co6'
_cell_length_a 4.2154
_cell_length_b 7.2959
_cell_length_c 7.2959
_cell_angle_alpha 119.86
_cell_angle_beta 106.79
_cell_angle_gamma 106.79
_symmetry_space_group_name_H-M 'P 1'
_symmetry_Int_Tables_number 1
loop_
_symmetry_equiv_pos_as_xyz
'x,y,z'
loop_
_atom_site_label
_atom_site_type_symbol
_atom_site_fract_x
_atom_site_fract_y
_atom_site_fract_z
Co1 Co 0.2342 0.7342 0.7342
Ti1 Ti 0.0000 0.6672 0.3328
Co2 Co 0.2582 0.4312 0.0853
Ti2 Ti 0.5000 0.5000 0.5000
Co3 Co 0.2582 0.0853 0.4312
Co4 Co 0.7418 0.9147 0.5688
Co5 Co 0.7418 0.5688 0.9147
Ti3 Ti 0.5000 0.8375 0.1625
Mg1 Mg 0.0000 0.0000 0.0000
Ti4 Ti 0.0000 0.3328 0.6672
Co6 Co 0.7658 0.2658 0.2658
Ti5 Ti 0.5000 0.1625 0.8375
```



Record 10
This record from Alexandria via LeMat-Bulk describes crystalline Tb2EuGa at its relaxed geometry. The functional is PBE-GGA.

Calculated values
Formation enthalpy at 0 K ... -68 meV/atom
Polymorph energy (0 for the lowest one) ... 3.910 kcal/mol of atoms

```
data_Tb2EuGa
_chemical_formula_sum 'Tb2 Eu1 Ga1'
_cell_length_a 5.3816
_cell_length_b 5.3816
_cell_length_c 5.3797
_cell_angle_alpha 59.99
_cell_angle_beta 59.99
_cell_angle_gamma 60.00
_symmetry_space_group_name_H-M 'P 1'
_symmetry_Int_Tables_number 1
loop_
_symmetry_equiv_pos_as_xyz
'x,y,z'
loop_
_atom_site_label
_atom_site_type_symbol
_atom_site_fract_x
_atom_site_fract_y
_atom_site_fract_z
Eu1 Eu 0.5000 0.5000 0.5000
Tb1 Tb 0.2498 0.2498 0.2506
Ga1 Ga 0.0000 0.0000 0.0000
Tb2 Tb 0.7502 0.7502 0.7494
```